Material: YPtSe
Method: DFT, PBE
State: relaxed

Cell and atoms, written as extended XYZ:
```
3
Lattice="5.2680 0.0135 -0.0157 3.9162 3.5230 -0.0092 1.3518 0.5131 3.4717" Properties=species:S:1:pos:R:3 pbc="T T T"
Pt 9.0557 3.4869 0.0325
Se 6.7280 2.5884 1.0716
Y 3.9366 1.5109 2.3178
```

Results
**Relative energy among the computed polymorphs**: 0.78 eV per formula unit
**Density of states at the Fermi level**: 1.632 states/eV/cell
**Volume**: 64.3 Å³/cell
**Space-group type**: I4mm, No. 107
**Formation energy without anion corrections**: -3.0 eV per formula unit

Material: Tm3Cu8Ag
Method: DFT, PBE
State: relaxed

Cell and atoms, written as extended XYZ:
```
12
Lattice="-2.9129 -4.2081 0.1105 2.1260 -4.6037 -0.7006 1.0167 -3.6054 8.0745" Properties=species:S:1:pos:R:3 pbc="T T T"
Tm 0.5802 -6.4517 6.7513
Tm -0.7541 -8.8289 -0.3782
Tm 0.0842 -6.1926 3.5439
Cu -1.6369 -6.6476 1.3109
Cu 1.4230 -8.6332 4.9422
Cu -0.1515 -4.5017 1.2546
Cu -0.0392 -10.7456 4.9977
Cu 0.2957 -3.2288 3.4118
Cu 0.4150 -9.4397 7.1825
Cu 0.9326 -6.8493 0.8973
Cu -1.1065 -8.4346 5.3494
Ag -0.2949 -9.0688 2.5915
```

Results
**ΔE_f**: -223 meV per atom
**Density of states at the Fermi level**: 7.213 states/eV/cell
**Volume**: 190.5 Å³/cell
**Space-group type**: R3m, No. 160

Material: Cd8HgPd5
Method: DFT, PBE
State: relaxed

Cell and atoms, written as extended XYZ:
```
14
Lattice="-5.7332 -2.4058 3.4586 2.7410 -5.1286 -4.0993 4.7616 2.0845 4.8582" Properties=species:S:1:pos:R:3 pbc="T T T"
Cd 1.5827 -4.0269 -2.3141
Cd -1.9174 -1.1925 6.2947
Cd -1.9613 -2.3741 3.2813
Cd 1.6734 -1.7504 4.9684
Cd -0.0465 -3.7467 0.4690
Cd 3.1474 -4.4358 2.5397
Cd 0.7260 -1.2446 1.9146
Cd 3.8732 -3.0287 -0.2837
Hg 3.5084 -1.6024 2.4586
Pd 1.4487 -1.6370 -0.7309
Pd -1.4358 -6.2132 0.4290
Pd 0.5133 -3.7493 3.2996
Pd -0.4858 -0.1607 4.1584
Pd 3.0125 0.6995 5.4372
```

Results
**ΔE_f**: -215 meV per atom
**Density of states at the Fermi level**: 2.771 states/eV/cell
**Volume**: 277.1 Å³/cell
**Space-group type**: I-4, No. 82

Material: Er8SiAs3Se4
Method: DFT, PBE
State: relaxed

Cell and atoms, written as extended XYZ:
```
16
Lattice="-5.5568 5.6022 -1.9812 -1.9468 -4.2859 -6.6587 -0.2283 -3.5454 7.3189" Properties=species:S:1:pos:R:3 pbc="T T T"
Er -3.0079 -5.3121 1.8872
Er -2.8919 -3.5138 -1.8247
Er -2.0413 -1.5056 1.4678
Er -5.8261 -2.4708 0.8823
Er -1.9058 0.2417 -2.2034
Er -5.6906 -0.7235 -2.7889
Er -4.8400 1.2847 0.5037
Er -4.7241 3.0830 -3.2082
Si -0.9734 -2.1429 -3.3293
As -3.7518 0.6582 -4.3200
As -3.8660 -1.1145 -0.6605
As -1.0876 -3.9156 0.3301
Se -2.7784 2.8011 -0.9906
Se -2.8926 1.0284 2.6688
Se 0.0000 0.0000 0.0000
Se -0.1142 -1.7727 3.6594
```

Results
**Density of states at the Fermi level**: 4.869 states/eV/cell
**Volume**: 382.1 Å³/cell
**Space-group type**: R-3m, No. 166
**Formation energy without anion corrections**: -25.5 eV per formula unit

Which value of volume does entry 2 give? 190.5 Å³/cell

Which formula does entry 1 have? YPtSe